# 1
MgMnMo4: relaxed, PBE. Values from VASP.

Structure (Quantum ESPRESSO input):
```
&SYSTEM
  ibrav = 0, nat = 6, ntyp = 3
/
ATOMIC_SPECIES
Mg 24.30 Mg.upf
Mn 54.94 Mn.upf
Mo 95.94 Mo.upf
CELL_PARAMETERS angstrom
3.504 -3.831 -0.746
-0.160 -4.317 2.975
-1.513 -4.569 -2.087
ATOMIC_POSITIONS angstrom
Mg 1.373 -9.538 0.107
Mn 0.000 0.000 0.000
Mo 2.431 -6.683 -0.318
Mo -0.065 -7.050 -0.984
Mo 0.608 -6.924 1.533
Mo 0.688 -4.777 0.053
```

The calculation puts the theoretical density at 7.53 Mg/m³. As for the space group: F-43m (216). Its formation energy is 0.408 eV per atom. The value obtained for the final energy is -8.607 eV per atom.

# 2
MgMn2Mo: relaxed, PBE. Values from VASP.

Structure (Quantum ESPRESSO input):
```
&SYSTEM
  ibrav = 0, nat = 4, ntyp = 3
/
ATOMIC_SPECIES
Mg 24.30 Mg.upf
Mn 54.94 Mn.upf
Mo 95.94 Mo.upf
CELL_PARAMETERS angstrom
4.324 0.000 0.000
2.162 3.744 0.000
2.162 1.248 3.530
ATOMIC_POSITIONS angstrom
Mg 4.324 2.496 1.765
Mn 0.000 0.000 0.000
Mn 6.486 3.744 2.648
Mo 2.162 1.248 0.883
```

The calculation puts the theoretical density at 6.69 Mg/m³. As for the space group: F-43m (216). Its formation energy is 0.404 eV per atom. The value obtained for the final energy is -7.287 eV per atom.

# 3
MgMn2Mo: relaxed, PBE. Values from VASP.

Structure (Quantum ESPRESSO input):
```
&SYSTEM
  ibrav = 0, nat = 4, ntyp = 3
/
ATOMIC_SPECIES
Mg 24.30 Mg.upf
Mn 54.94 Mn.upf
Mo 95.94 Mo.upf
CELL_PARAMETERS angstrom
-2.422 0.560 3.505
2.106 -0.521 1.538
1.960 4.684 0.607
ATOMIC_POSITIONS angstrom
Mg 1.854 3.468 3.362
Mn 0.012 0.011 0.006
Mn -0.125 1.360 2.330
Mo 1.936 1.965 1.024
```

The calculation puts the theoretical density at 6.66 Mg/m³. As for the space group: Pm (6). Its formation energy is 0.331 eV per atom. The value obtained for the final energy is -7.360 eV per atom.

# 4
MgMn2Mo: relaxed, PBE. Values from VASP.

Structure (Quantum ESPRESSO input):
```
&SYSTEM
  ibrav = 0, nat = 4, ntyp = 3
/
ATOMIC_SPECIES
Mg 24.30 Mg.upf
Mn 54.94 Mn.upf
Mo 95.94 Mo.upf
CELL_PARAMETERS angstrom
4.608 -0.004 0.007
3.824 2.570 0.007
0.362 0.110 5.216
ATOMIC_POSITIONS angstrom
Mg 2.198 0.669 1.307
Mn 8.779 2.672 5.089
Mn 4.412 1.343 2.755
Mo 6.595 2.007 3.922
```

The calculation puts the theoretical density at 6.18 Mg/m³. As for the space group: C2/m (12). Its formation energy is 0.386 eV per atom. The value obtained for the final energy is -7.305 eV per atom.

# 5
MgMn2Mo: relaxed, PBE. Values from VASP.

Structure (Quantum ESPRESSO input):
```
&SYSTEM
  ibrav = 0, nat = 4, ntyp = 3
/
ATOMIC_SPECIES
Mg 24.30 Mg.upf
Mn 54.94 Mn.upf
Mo 95.94 Mo.upf
CELL_PARAMETERS angstrom
3.071 0.000 0.000
0.000 3.071 0.000
0.000 0.000 6.460
ATOMIC_POSITIONS angstrom
Mg 1.535 1.535 4.845
Mn 0.000 0.000 0.242
Mn 0.000 0.000 2.988
Mo 1.535 1.535 1.615
```

The calculation puts the theoretical density at 6.27 Mg/m³. As for the space group: P4/mmm (123). Its formation energy is 0.212 eV per atom. The value obtained for the final energy is -7.479 eV per atom.

# 6
Mg2MnMo: relaxed, PBE. Values from VASP.

Structure (Quantum ESPRESSO input):
```
&SYSTEM
  ibrav = 0, nat = 4, ntyp = 3
/
ATOMIC_SPECIES
Mg 24.30 Mg.upf
Mn 54.94 Mn.upf
Mo 95.94 Mo.upf
CELL_PARAMETERS angstrom
-1.577 -1.842 1.454
1.872 1.120 1.799
-5.864 6.595 1.998
ATOMIC_POSITIONS angstrom
Mg -5.761 6.479 1.963
Mg -1.466 1.454 2.176
Mn -3.046 3.426 1.038
Mo -4.091 4.406 3.071
```

The calculation puts the theoretical density at 4.80 Mg/m³. As for the space group: Cmm2 (35). For the distance to the lowest polymorph of the same formula, the calculation gives 85 meV per atom. Its formation energy is 0.247 eV per atom. The value obtained for the final energy is -5.550 eV per atom.

# 7
MgMn2Mo: relaxed, PBE. Values from VASP.

Structure (Quantum ESPRESSO input):
```
&SYSTEM
  ibrav = 0, nat = 4, ntyp = 3
/
ATOMIC_SPECIES
Mg 24.30 Mg.upf
Mn 54.94 Mn.upf
Mo 95.94 Mo.upf
CELL_PARAMETERS angstrom
2.666 0.000 0.000
0.000 4.191 0.000
0.000 0.000 5.376
ATOMIC_POSITIONS angstrom
Mg 1.333 2.096 4.113
Mn 0.000 0.000 0.063
Mn 1.333 2.096 1.386
Mo 0.000 0.000 2.502
```

The calculation puts the theoretical density at 6.36 Mg/m³. As for the space group: Pmm2 (25). Its formation energy is 0.386 eV per atom. The value obtained for the final energy is -7.305 eV per atom.

# 8
Mg2MnMo: relaxed, PBE. Values from VASP.

Structure (Quantum ESPRESSO input):
```
&SYSTEM
  ibrav = 0, nat = 8, ntyp = 3
/
ATOMIC_SPECIES
Mo 95.94 Mo.upf
Mn 54.94 Mn.upf
Mg 24.30 Mg.upf
CELL_PARAMETERS angstrom
7.360 0.000 0.000
0.000 7.360 0.000
3.680 3.680 2.650
ATOMIC_POSITIONS angstrom
Mo 0.000 0.000 0.000
Mo 7.360 3.680 1.325
Mn 3.680 3.680 0.000
Mn 3.680 7.360 1.325
Mg 5.424 1.840 0.662
Mg 1.936 5.520 0.662
Mg 5.520 5.616 1.987
Mg 9.200 9.104 1.987
```

The calculation puts the theoretical density at 4.62 Mg/m³. As for the space group: I-42d (122). For the distance to the lowest polymorph of the same formula, the calculation gives 671 meV per atom. Its formation energy is 0.833 eV per atom. The value obtained for the final energy is -4.965 eV per atom.

# 9
Mg2MnMo: relaxed, PBE. Values from VASP.

Structure (Quantum ESPRESSO input):
```
&SYSTEM
  ibrav = 0, nat = 4, ntyp = 3
/
ATOMIC_SPECIES
Mg 24.30 Mg.upf
Mn 54.94 Mn.upf
Mo 95.94 Mo.upf
CELL_PARAMETERS angstrom
3.464 0.000 0.000
0.000 4.167 0.000
0.000 0.000 4.579
ATOMIC_POSITIONS angstrom
Mg 0.000 0.000 0.000
Mg 1.732 2.083 0.000
Mn 1.732 0.000 2.290
Mo 0.000 2.083 2.290
```

The calculation puts the theoretical density at 5.01 Mg/m³. As for the space group: Pmmm (47). For the distance to the lowest polymorph of the same formula, the calculation gives 228 meV per atom. Its formation energy is 0.390 eV per atom. The value obtained for the final energy is -5.407 eV per atom.

# 10
MgMn2Mo: relaxed, PBE. Values from VASP.

Structure (Quantum ESPRESSO input):
```
&SYSTEM
  ibrav = 0, nat = 8, ntyp = 3
/
ATOMIC_SPECIES
Mo 95.94 Mo.upf
Mn 54.94 Mn.upf
Mg 24.30 Mg.upf
CELL_PARAMETERS angstrom
6.887 0.000 0.000
0.000 6.887 0.000
3.443 3.443 2.713
ATOMIC_POSITIONS angstrom
Mo 0.000 0.000 0.000
Mo 6.887 3.443 1.356
Mn 5.391 1.722 0.678
Mn 1.496 5.165 0.678
Mn 5.165 4.939 2.035
Mn 8.609 8.834 2.035
Mg 3.443 3.443 0.000
Mg 3.443 6.887 1.356
```

The calculation puts the theoretical density at 5.94 Mg/m³. As for the space group: I-42d (122). Its formation energy is 0.725 eV per atom. The value obtained for the final energy is -6.966 eV per atom.

# 11
Mg2MnMo: relaxed, PBE. Values from VASP.

Structure (Quantum ESPRESSO input):
```
&SYSTEM
  ibrav = 0, nat = 4, ntyp = 3
/
ATOMIC_SPECIES
Mg 24.30 Mg.upf
Mn 54.94 Mn.upf
Mo 95.94 Mo.upf
CELL_PARAMETERS angstrom
-0.857 1.532 2.151
-2.457 -0.369 -1.237
-1.297 -7.472 4.805
ATOMIC_POSITIONS angstrom
Mg -0.002 -0.011 0.007
Mg -0.647 -3.725 2.396
Mn -1.981 -1.287 1.658
Mo -2.630 -5.023 4.060
```

The calculation puts the theoretical density at 4.84 Mg/m³. As for the space group: Cmmm (65). For the distance to the lowest polymorph of the same formula, the calculation gives 192 meV per atom. Its formation energy is 0.354 eV per atom. The value obtained for the final energy is -5.444 eV per atom.

# 12
Mg2MnMo: relaxed, PBE. Values from VASP.

Structure (Quantum ESPRESSO input):
```
&SYSTEM
  ibrav = 0, nat = 4, ntyp = 3
/
ATOMIC_SPECIES
Mg 24.30 Mg.upf
Mn 54.94 Mn.upf
Mo 95.94 Mo.upf
CELL_PARAMETERS angstrom
4.486 -0.004 0.000
0.014 4.486 0.000
-2.250 -2.241 3.169
ATOMIC_POSITIONS angstrom
Mg 0.000 0.000 0.000
Mg 0.007 2.243 1.584
Mn 2.250 2.241 0.000
Mo 2.243 -0.002 1.584
```

The calculation puts the theoretical density at 5.19 Mg/m³. As for the space group: F-43m (216). For the distance to the lowest polymorph of the same formula, the calculation gives 162 meV per atom. Its formation energy is 0.324 eV per atom. The value obtained for the final energy is -5.473 eV per atom.

# 13
MgMn3Mo: relaxed, PBE. Values from VASP.

Structure (Quantum ESPRESSO input):
```
&SYSTEM
  ibrav = 0, nat = 5, ntyp = 3
/
ATOMIC_SPECIES
Mo 95.94 Mo.upf
Mn 54.94 Mn.upf
Mg 24.30 Mg.upf
CELL_PARAMETERS angstrom
4.617 0.000 0.000
0.000 4.617 0.000
0.000 0.000 4.617
ATOMIC_POSITIONS angstrom
Mo 0.000 0.000 0.000
Mn 0.000 2.308 0.000
Mn 0.000 0.000 2.308
Mn 2.308 0.000 0.000
Mg 2.308 2.308 2.308
```

The calculation puts the theoretical density at 4.81 Mg/m³. As for the space group: Pm-3m (221). For the distance to the lowest polymorph of the same formula, the calculation gives 0 meV per atom. Its formation energy is 1.104 eV per atom. The value obtained for the final energy is -6.882 eV per atom.